# CuNiF5

A geometry-optimized CuNiF5 structure (PBE with a Hubbard U, the Alexandria database).

a = 3.6655 Å, b = 5.2737 Å, c = 5.2737 Å
α = 73.38°, β = 69.66°, γ = 69.66°
Closest atoms and distances in Å follow each position.
Fractional coordinates of all 7 atoms:
F 0.7529 0.2471 0.2471  1 Cu 1.88, 1 Ni 1.93
F 0.0000 0.3104 0.6896  1 Cu 1.96, 2 Ni 2.19
F 0.0000 0.6896 0.3104  1 Cu 1.96, 2 Ni 2.19
F 0.5000 0.0000 0.0000  2 Cu 1.83
F 0.2471 0.7529 0.7529  1 Cu 1.88, 1 Ni 1.93
Ni 0.5000 0.5000 0.5000  2 F 1.93
Cu 0.0000 0.0000 0.0000  6 F 1.83-1.96

## Properties
Its volume is 88.0 Å³ per cell. Its density of states at the Fermi level is 1.674 states/eV/cell. As for the symmetry: Immm (71). Its total DFT energy (no corrections) is -27.2 eV per cell.